Computed, not measured: crystalline Cs2VHgBr6 at its relaxed geometry at the PBE level of DFT.

Output
Space-group type: C2/m
ΔE_f (raw): -1092 meV per atom

Cell: 8.0656 8.0648 8.0840 Å, 60.01 60.00 89.96°
Last column: magnetic moment on the atom in μB.
Atoms (fractional coordinates):
Hg (0.5000, 0.5000, 0.0000)  0.04
Br (0.2221, 0.2225, 0.9996)  -0.02
Br (0.7784, 0.7784, 0.4428)  -0.01
Br (0.2216, 0.2216, 0.5572)  -0.01
V (0.0000, 0.0000, 0.0000)  1.48
Br (0.7779, 0.7775, 0.0004)  -0.02
Br (0.7776, 0.2221, 0.0000)  -0.02
Br (0.2224, 0.7779, 0.0000)  -0.02
Cs (0.2500, 0.7500, 0.5001)  0.00
Cs (0.7500, 0.2500, 0.4999)  0.00

Computed, not measured: crystalline K2In4HgBi3 at its relaxed geometry at the PBE level of DFT.

Output
Space-group type: P-4m2
Energy of formation: -0.1609 eV per atom

Cell: 5.1898 5.1898 13.3297 Å, 90.00 90.00 90.00°
Atoms (fractional coordinates):
In (0.0000, 0.0000, 0.0000)
In (0.5000, 0.5000, 0.0000)
Bi (0.5000, 0.0000, 0.8653)
In (0.0000, 0.5000, 0.3738)
Bi (0.0000, 0.0000, 0.5000)
K (0.0000, 0.5000, 0.7388)
K (0.5000, 0.0000, 0.2612)
Hg (0.5000, 0.5000, 0.5000)
Bi (0.0000, 0.5000, 0.1347)
In (0.5000, 0.0000, 0.6262)

Computed, not measured: crystalline Mg4Tl6Pb at its relaxed geometry at the PBE level of DFT.

Output
Space-group type: I-42m
Energy of formation: 0.0775 eV per atom

Cell: 7.7469 7.7469 7.7469 Å, 87.29 121.58 121.58°
Atoms (fractional coordinates):
Tl (0.0000, 0.5507, 0.8914)
Tl (0.0000, 0.8914, 0.5507)
Tl (0.3407, 0.4493, 0.4493)
Tl (0.5000, 0.0000, 0.5000)
Tl (0.5000, 0.5000, 0.0000)
Tl (0.6593, 0.1086, 0.1086)
Mg (0.0000, 0.2572, 0.6093)
Pb (0.0000, 0.0000, 0.0000)
Mg (0.6480, 0.3907, 0.3907)
Mg (0.3520, 0.7428, 0.7428)
Mg (0.0000, 0.6093, 0.2572)

Computed, not measured: crystalline CsCo3Pd at its relaxed geometry at the PBE level of DFT.

Output
Space-group type: Pm-3m
Energy of formation: 2.4306 eV per atom

Cell: 4.6301 4.6301 4.6301 Å, 90.00 90.00 90.00°
Last column: magnetic moment on the atom in μB.
Atoms (fractional coordinates):
Co (0.0000, 0.5000, 0.0000)  0.96
Co (0.0000, 0.0000, 0.5000)  0.66
Cs (0.0000, 0.0000, 0.0000)  -0.06
Pd (0.5000, 0.5000, 0.5000)  0.08
Co (0.5000, 0.0000, 0.0000)  1.15

Computed, not measured: crystalline GaGeSb at its relaxed geometry at the PBE level of DFT.

Output
Space-group type: R-3m
Energy above the lowest structure with this stoichiometry: 11 meV/atom
ΔE_f (raw): -31 meV per atom

Cell: 4.2769 4.2769 31.7895 Å, 90.00 90.00 120.00°
Atoms (fractional coordinates):
Ga (0.3333, 0.6667, 0.1276)
Ge (0.3333, 0.6667, 0.9882)
Sb (0.3333, 0.6667, 0.9036)
Sb (0.6667, 0.3333, 0.5702)
Sb (0.6667, 0.3333, 0.0964)
Ge (0.3333, 0.6667, 0.3451)
Sb (0.0000, 0.0000, 0.2369)
Ge (0.0000, 0.0000, 0.6784)
Ga (0.6667, 0.3333, 0.7943)
Ge (0.6667, 0.3333, 0.6549)
Sb (0.0000, 0.0000, 0.7631)
Ga (0.6667, 0.3333, 0.8724)
Ga (0.3333, 0.6667, 0.2057)
Ga (0.0000, 0.0000, 0.4610)
Ga (0.0000, 0.0000, 0.5390)
Ge (0.0000, 0.0000, 0.3216)
Ge (0.6667, 0.3333, 0.0118)
Sb (0.3333, 0.6667, 0.4298)

Computed, not measured: crystalline In2Hg at its relaxed geometry at the PBE level of DFT.

Output
Space-group type: P-3m1
Energy above the lowest structure with this stoichiometry: 30 meV/atom
Energy of formation: 0.0327 eV per atom

Cell: 3.7119 3.7119 6.7577 Å, 90.00 90.00 120.00°
Atoms (fractional coordinates):
In (0.3333, 0.6667, 0.3264)
In (0.6667, 0.3333, 0.6736)
Hg (0.0000, 0.0000, 0.0000)

Number 1: DOS at the Fermi energy 1.332 states/eV per atom, total DFT energy (no corrections) -32.09 eV/cell, volume 37.20 Å³ per atom. Number 2: DOS at the Fermi energy 0.386 states/eV per atom, total DFT energy (no corrections) -26.70 eV/cell, volume 35.90 Å³ per atom. Number 3: DOS at the Fermi energy 0.383 states/eV per atom, total DFT energy (no corrections) -23.43 eV/cell, volume 29.14 Å³ per atom. Number 4: DOS at the Fermi energy 2.774 states/eV per atom, total DFT energy (no corrections) -15.21 eV/cell, volume 19.85 Å³ per atom. Number 5: DOS at the Fermi energy 0.123 states/eV per atom, total DFT energy (no corrections) -71.15 eV/cell, volume 27.98 Å³ per atom. Number 6: DOS at the Fermi energy 0.592 states/eV per atom, total DFT energy (no corrections) -5.68 eV/cell, volume 26.88 Å³ per atom.